(1)
The following is a DFT calculation (PBE with a Hubbard U) of an optimized crystal structure of MnZnO2.

Unit cell a=3.1528 b=8.1797 c=8.2490 alpha=107.75 beta=90.59 gamma=97.91
Space group P1 (No. 1)
Inequivalent atoms, fractional coordinates:
Mn 0.0000 0.0000 0.0000 [1 per cell]
Mn 0.0344 0.4252 0.6811 [1 per cell]
Mn 0.4052 0.6782 0.0817 [1 per cell]
Mn 0.6677 0.3832 0.3265 [1 per cell]
Zn 0.3374 0.7436 0.5887 [1 per cell]
Zn 0.4159 0.1113 0.7478 [1 per cell]
Zn 0.9541 0.0155 0.3906 [1 per cell]
Zn 0.9898 0.3299 0.9932 [1 per cell]
O 0.0624 0.2725 0.4403 [1 per cell]
O 0.2830 0.4908 0.2163 [1 per cell]
O 0.4360 0.9568 0.5135 [1 per cell]
O 0.4381 0.8990 0.8351 [1 per cell]
O 0.6075 0.1824 0.1148 [1 per cell]
O 0.7685 0.5821 0.5523 [1 per cell]
O 0.8515 0.5292 0.9168 [1 per cell]
O 0.9567 0.8501 0.1610 [1 per cell]

M_tot (μB/f.u.): 4.500
Crystal system: triclinic
Electronic total energy (eV/cell): -95.601



(2)
The following is a DFT calculation (PBE with a Hubbard U) of an optimized crystal structure of KPaFe2O6.

Unit cell a=11.0978 b=10.4373 c=6.4147 alpha=90.00 beta=109.65 gamma=90.00
Space group C2/c (No. 15)
Inequivalent atoms, fractional coordinates:
K 0.0000 0.0926 0.2500 [4 per cell]
Pa 0.0000 0.2836 0.7500 [4 per cell]
Fe 0.2044 0.4239 0.1579 [8 per cell]
O 0.0825 0.2905 0.0927 [8 per cell]
O 0.1274 0.1317 0.7124 [8 per cell]
O 0.1579 0.4477 0.8326 [8 per cell]

M_tot (μB/f.u.): 10.000
Crystal system: monoclinic
Electronic total energy (eV/cell): -293.750